Entry from Alexandria via LeMat-Bulk: HfTcSnWF after structural relaxation (GGA+U). Values from VASP.

Cell and atoms, written as Quantum ESPRESSO input:
```
&SYSTEM
  ibrav = 0, nat = 5, ntyp = 5
/
ATOMIC_SPECIES
Tc 98.00 Tc.upf
W 183.84 W.upf
Sn 118.71 Sn.upf
Hf 178.49 Hf.upf
F 19.00 F.upf
CELL_PARAMETERS angstrom
3.0871 0.0000 0.0000
0.0000 3.1422 0.0000
-1.4800 0.0000 10.6938
ATOMIC_POSITIONS crystal
Tc 0.5805 0.0000 0.1505
W 0.1478 0.5000 0.2909
Sn 0.7485 0.0000 0.5019
Hf 0.0007 0.5000 0.9840
F 0.4344 0.5000 0.8457
```

## Properties
Uncorrected energy   -7.310 eV/atom
ΔE to the lowest computed polymorph   0 meV per atom